Entry 1:
The following is a DFT calculation (GGA-PBE) of a geometry-optimized Rb2Sb structure.

Results
For the relative energy among the computed polymorphs, the calculation gives 11 meV/atom. The calculated density is 3.598 g cm⁻³. As for the raw formation energy: -0.22 eV/atom. The calculation puts the total magnetization at 0.34 μB/f.u.

a = 4.7857 Å, b = 4.7857 Å, c = 11.7958 Å
α = 90.00°, β = 90.00°, γ = 90.00°
Space group I4/mmm (No. 139)
Unique sites:
Rb  0.0000  0.0000  0.1533 x4
Sb  0.0000  0.0000  0.5000 x2



Entry 2:
The following is a DFT calculation (GGA-PBE) of a geometry-optimized RbSb structure.

Results
For the relative energy among the computed polymorphs, the calculation gives 0 meV/atom. The calculated density is 3.840 g cm⁻³. As for the raw formation energy: -0.43 eV/atom. The calculation puts the total magnetization at 0.00 μB/f.u.

a = 7.3516 Å, b = 7.4936 Å, c = 13.0120 Å
α = 90.00°, β = 90.00°, γ = 90.00°
Space group P2_12_12_1 (No. 19)
Unique sites:
Rb  0.0964  0.1005  0.4191 x4
Rb  0.1685  0.3515  0.7911 x4
Sb  0.0914  0.5550  0.5353 x4
Sb  0.1699  0.1736  0.1184 x4



Entry 3:
The following is a DFT calculation (GGA-PBE) of a geometry-optimized RbSb2 structure.

Results
The calculated density is 4.539 g cm⁻³. As for the raw formation energy: -0.24 eV/atom. The calculation puts the total magnetization at 0.00 μB/f.u.

a = 5.4795 Å, b = 7.9479 Å, c = 11.0534 Å
α = 90.00°, β = 90.00°, γ = 90.00°
Space group Imma (No. 74)
Unique sites:
Rb  0.0000  0.2500  0.0383 x4
Sb  0.0000  0.0669  0.6933 x8



Entry 4:
The following is a DFT calculation (GGA-PBE) of a geometry-optimized RbSb structure.

Results
For the relative energy among the computed polymorphs, the calculation gives 321 meV/atom. The calculated density is 3.470 g cm⁻³. As for the raw formation energy: -0.11 eV/atom. The calculation puts the total magnetization at 0.00 μB/f.u.

a = 11.7227 Å, b = 11.7227 Å, c = 5.7724 Å
α = 90.00°, β = 90.00°, γ = 90.00°
Space group P4/m (No. 83)
Unique sites:
Rb  0.1259  0.7867  0.0000 x4
Rb  0.2800  0.3694  0.5000 x4
Sb  0.0525  0.6075  0.5000 x4
Sb  0.1166  0.4726  0.0000 x4



Entry 5:
The following is a DFT calculation (GGA-PBE) of a geometry-optimized RbSb structure.

Results
For the relative energy among the computed polymorphs, the calculation gives 743 meV/atom. The calculated density is 3.157 g cm⁻³. As for the raw formation energy: 0.31 eV/atom. The calculation puts the total magnetization at 2.01 μB/f.u.

a = 7.5831 Å, b = 7.5831 Å, c = 7.5831 Å
α = 90.00°, β = 90.00°, γ = 90.00°
Space group Fm-3m (No. 225)
Unique sites:
Rb  0.0000  0.0000  0.0000 x4
Sb  0.0000  0.0000  0.5000 x4



Entry 6:
The following is a DFT calculation (GGA-PBE) of a geometry-optimized Rb3Sb4 structure.

Results
The calculated density is 3.987 g cm⁻³. As for the raw formation energy: -0.33 eV/atom. The calculation puts the total magnetization at 0.00 μB/f.u.

a = 4.4071 Å, b = 5.9126 Å, c = 23.7628 Å
α = 90.00°, β = 90.00°, γ = 90.00°
Space group Immm (No. 71)
Unique sites:
Rb  0.0000  0.0000  0.0000 x2
Rb  0.0000  0.5000  0.3176 x4
Sb  0.0000  0.0000  0.4247 x4
Sb  0.0000  0.5000  0.1538 x4



Entry 7:
The following is a DFT calculation (GGA-PBE) of a geometry-optimized Rb5Sb structure.

Results
The calculated density is 2.586 g cm⁻³. As for the raw formation energy: -0.14 eV/atom. The calculation puts the total magnetization at 0.00 μB/f.u.

a = 6.0380 Å, b = 18.8409 Å, c = 6.1988 Å
α = 90.00°, β = 90.00°, γ = 90.00°
Space group Cmmm (No. 65)
Unique sites:
Rb  0.0000  0.0000  0.0000 x2
Rb  0.0000  0.1341  0.5000 x4
Rb  0.0000  0.3601  0.0000 x4
Sb  0.0000  0.5000  0.5000 x2



Entry 8:
The following is a DFT calculation (GGA-PBE) of a geometry-optimized RbSb structure.

Results
For the relative energy among the computed polymorphs, the calculation gives 99 meV/atom. The calculated density is 4.104 g cm⁻³. As for the raw formation energy: -0.33 eV/atom. The calculation puts the total magnetization at 0.00 μB/f.u.

a = 6.9565 Å, b = 13.8315 Å, c = 6.9717 Å
α = 90.00°, β = 90.00°, γ = 90.00°
Space group Pbcm (No. 57)
Unique sites:
Rb  0.1277  0.1677  0.2500 x4
Rb  0.3343  0.0031  0.7500 x4
Sb  0.1623  0.6103  0.7500 x4
Sb  0.3738  0.7500  0.0000 x4



Entry 9:
The following is a DFT calculation (GGA-PBE) of a geometry-optimized RbSb structure.

Results
For the relative energy among the computed polymorphs, the calculation gives 919 meV/atom. The calculated density is 1.805 g cm⁻³. As for the raw formation energy: 0.49 eV/atom. The calculation puts the total magnetization at 2.00 μB/f.u.

a = 10.4588 Å, b = 10.4588 Å, c = 10.4588 Å
α = 90.00°, β = 90.00°, γ = 90.00°
Space group Pm-3n (No. 223)
Unique sites:
Rb  0.0000  0.2500  0.5000 x6
Sb  0.0000  0.5000  0.2500 x6



Entry 10:
The following is a DFT calculation (GGA-PBE) of a geometry-optimized RbSb structure.

Results
For the relative energy among the computed polymorphs, the calculation gives 190 meV/atom. The calculated density is 3.491 g cm⁻³. As for the raw formation energy: -0.24 eV/atom. The calculation puts the total magnetization at 0.06 μB/f.u.

a = 22.0674 Å, b = 6.4984 Å, c = 4.1238 Å
α = 90.00°, β = 90.00°, γ = 90.00°
Space group Pmn2_1 (No. 31)
Unique sites:
Rb  0.0000  0.1093  0.0000 x2
Rb  0.1400  0.6174  0.9979 x4
Sb  0.0000  0.6070  0.4988 x2
Sb  0.2258  0.1205  0.9909 x4



Entry 11:
The following is a DFT calculation (GGA-PBE) of a geometry-optimized RbSb structure.

Results
For the relative energy among the computed polymorphs, the calculation gives 464 meV/atom. The calculated density is 2.150 g cm⁻³. As for the raw formation energy: 0.04 eV/atom. The calculation puts the total magnetization at 0.74 μB/f.u.

a = 10.8581 Å, b = 10.8581 Å, c = 10.8581 Å
α = 90.00°, β = 90.00°, γ = 90.00°
Space group I-43m (No. 217)
Unique sites:
Rb  0.2065  0.2065  0.2065 x8
Sb  0.1003  0.1003  0.8997 x8



Entry 12:
The following is a DFT calculation (GGA-PBE) of a geometry-optimized RbSb structure.

Results
For the relative energy among the computed polymorphs, the calculation gives 830 meV/atom. The calculated density is 2.511 g cm⁻³. As for the raw formation energy: 0.40 eV/atom. The calculation puts the total magnetization at 2.00 μB/f.u.

a = 6.4843 Å, b = 6.4843 Å, c = 7.5283 Å
α = 90.00°, β = 90.00°, γ = 120.00°
Space group P6_3/mmc (No. 194)
Unique sites:
Rb  0.3333  0.6667  0.2500 x2
Sb  0.3333  0.6667  0.7500 x2